No. 1
Crystalline BaTcSb2 at its relaxed geometry. Source: Alexandria via LeMat-Bulk, functional PBE.

ΔE_f (raw) ... -0.152 eV per atom
Electronic total energy ... -5.285 eV per atom
V ... 24.790 A^3/atom
E above lowest polymorph ... 108.0 meV/atom

Lattice parameters (Å, degrees): 3.420 3.420 8.479 90.00 90.00 90.00
Space group P4/mmm (No. 123)
Symmetry-distinct sites (fractional):
Ba 0.000 0.000 0.000
Tc 0.000 0.000 0.500
Sb 0.500 0.500 0.313

***

No. 2
Crystalline BaTcSb2 at its relaxed geometry. Source: Alexandria via LeMat-Bulk, functional PBE.

ΔE_f (raw) ... 0.017 eV per atom
Electronic total energy ... -5.117 eV per atom
V ... 29.967 A^3/atom
E above lowest polymorph ... 276.2 meV/atom

Lattice parameters (Å, degrees): 4.409 6.516 8.344 90.00 90.00 90.00
Space group Immm (No. 71)
Symmetry-distinct sites (fractional):
Ba 0.000 0.000 0.000
Tc 0.000 0.000 0.500
Sb 0.000 0.500 0.183

***

No. 3
Crystalline BaTc2Sb at its relaxed geometry. Source: Alexandria via LeMat-Bulk, functional PBE.

ΔE_f (raw) ... 0.288 eV per atom
Electronic total energy ... -6.406 eV per atom
V ... 24.768 A^3/atom

Lattice parameters (Å, degrees): 3.270 4.133 7.424 90.00 99.15 90.00
Space group Pm (No. 6)
Symmetry-distinct sites (fractional):
Ba 0.000 0.000 0.000
Tc 0.221 0.500 0.643
Tc 0.584 0.000 0.574
Sb 0.624 0.500 0.334

***

No. 4
Crystalline BaTcSb2 at its relaxed geometry. Source: Alexandria via LeMat-Bulk, functional PBE.

ΔE_f (raw) ... -0.070 eV per atom
Electronic total energy ... -5.203 eV per atom
V ... 34.623 A^3/atom
E above lowest polymorph ... 190.1 meV/atom

Lattice parameters (Å, degrees): 4.924 4.393 12.806 90.00 90.00 90.00
Space group Amm2 (No. 38)
Symmetry-distinct sites (fractional):
Ba 0.000 0.000 0.000
Tc 0.500 0.000 0.231
Sb 0.000 0.000 0.283
Sb 0.500 0.000 0.622

***

No. 5
Crystalline Ba2Tc2Sb at its relaxed geometry. Source: Alexandria via LeMat-Bulk, functional PBE.

ΔE_f (raw) ... 1.289 eV per atom
Electronic total energy ... -4.451 eV per atom
V ... 29.517 A^3/atom
E above lowest polymorph ... 1119.8 meV/atom

Lattice parameters (Å, degrees): 9.339 9.339 3.384 90.00 90.00 90.00
Space group P4/mbm (No. 127)
Symmetry-distinct sites (fractional):
Ba 0.135 0.365 0.000
Tc 0.175 0.675 0.500
Sb 0.000 0.000 0.000

***

No. 6
Crystalline BaTcSb2 at its relaxed geometry. Source: Alexandria via LeMat-Bulk, functional PBE.

ΔE_f (raw) ... -0.260 eV per atom
Electronic total energy ... -5.393 eV per atom
V ... 28.068 A^3/atom
E above lowest polymorph ... 0.0 meV/atom

Lattice parameters (Å, degrees): 4.5747 4.5747 18.5873 90.00 90.00 120.00
Space group R-3m (No. 166, hexagonal axes)
Symmetry-distinct sites (fractional):
Ba 0.0000 0.0000 0.0000
Tc 0.0000 0.0000 0.5000
Sb 0.0000 0.0000 0.2141

***

No. 7
Crystalline BaTc2Sb at its relaxed geometry. Source: Alexandria via LeMat-Bulk, functional PBE.

ΔE_f (raw) ... 0.425 eV per atom
Electronic total energy ... -6.269 eV per atom
V ... 28.813 A^3/atom

Lattice parameters (Å, degrees): 4.060 4.892 5.814 90.00 93.33 90.00
Space group P2/m (No. 10)
Symmetry-distinct sites (fractional):
Ba 0.000 0.000 0.000
Tc 0.249 0.500 0.604
Sb 0.500 0.000 0.500

***

No. 8
Crystalline Ba3TcSb at its relaxed geometry. Source: Alexandria via LeMat-Bulk, functional PBE.

ΔE_f (raw) ... 0.069 eV per atom
Electronic total energy ... -3.983 eV per atom
V ... 37.107 A^3/atom
E above lowest polymorph ... 0.0 meV/atom

Lattice parameters (Å, degrees): 5.703 5.703 5.703 90.00 90.00 90.00
Space group Pm-3m (No. 221)
Symmetry-distinct sites (fractional):
Ba 0.000 0.000 0.500
Tc 0.000 0.000 0.000
Sb 0.500 0.500 0.500

***

No. 9
Crystalline BaTc4Sb12 at its relaxed geometry. Source: Alexandria via LeMat-Bulk, functional PBE.

ΔE_f (raw) ... -0.112 eV per atom
Electronic total energy ... -5.574 eV per atom
V ... 25.564 A^3/atom

Lattice parameters (Å, degrees): 9.543 9.543 9.543 90.00 90.00 90.00
Space group Im-3 (No. 204)
Symmetry-distinct sites (fractional):
Ba 0.000 0.000 0.000
Tc 0.250 0.250 0.250
Sb 0.000 0.343 0.162

***

No. 10
Crystalline BaTc4Sb at its relaxed geometry. Source: Alexandria via LeMat-Bulk, functional PBE.

ΔE_f (raw) ... 0.694 eV per atom
Electronic total energy ... -7.225 eV per atom
V ... 19.455 A^3/atom

Lattice parameters (Å, degrees): 7.758 7.758 7.758 90.00 90.00 90.00
Space group F-43m (No. 216)
Symmetry-distinct sites (fractional):
Ba 0.000 0.000 0.000
Tc 0.122 0.122 0.378
Sb 0.250 0.250 0.750

***

No. 11
Crystalline BaTcSb2 at its relaxed geometry. Source: Alexandria via LeMat-Bulk, functional PBE.

ΔE_f (raw) ... 0.398 eV per atom
Electronic total energy ... -4.736 eV per atom
V ... 27.792 A^3/atom
E above lowest polymorph ... 657.5 meV/atom

Lattice parameters (Å, degrees): 4.895 4.895 4.640 90.00 90.00 90.00
Space group P4/mmm (No. 123)
Symmetry-distinct sites (fractional):
Ba 0.000 0.000 0.000
Tc 0.500 0.500 0.000
Sb 0.000 0.500 0.500

***

No. 12
Crystalline BaTcSb2 at its relaxed geometry. Source: Alexandria via LeMat-Bulk, functional PBE.

ΔE_f (raw) ... -0.050 eV per atom
Electronic total energy ... -5.183 eV per atom
V ... 29.107 A^3/atom
E above lowest polymorph ... 209.9 meV/atom

Lattice parameters (Å, degrees): 12.555 3.392 6.251 90.00 118.99 90.00
Space group Cm (No. 8)
Symmetry-distinct sites (fractional):
Ba 0.000 0.000 0.000
Tc 0.251 0.000 0.964
Sb 0.159 0.500 0.587
Sb 0.332 0.500 0.346

***

No. 13
Crystalline BaTcSb3 at its relaxed geometry. Source: Alexandria via LeMat-Bulk, functional PBE.

ΔE_f (raw) ... -0.049 eV per atom
Electronic total energy ... -4.980 eV per atom
V ... 30.473 A^3/atom
E above lowest polymorph ... 0.0 meV/atom

Lattice parameters (Å, degrees): 5.341 5.341 5.341 90.00 90.00 90.00
Space group Pm-3m (No. 221)
Symmetry-distinct sites (fractional):
Ba 0.000 0.000 0.000
Tc 0.500 0.500 0.500
Sb 0.000 0.500 0.500

***

No. 14
Crystalline BaTcSb2 at its relaxed geometry. Source: Alexandria via LeMat-Bulk, functional PBE.

ΔE_f (raw) ... 0.535 eV per atom
Electronic total energy ... -4.599 eV per atom
V ... 27.484 A^3/atom
E above lowest polymorph ... 794.3 meV/atom

Lattice parameters (Å, degrees): 7.604 7.604 7.604 90.00 90.00 90.00
Space group F-43m (No. 216)
Symmetry-distinct sites (fractional):
Ba 0.000 0.000 0.000
Tc 0.250 0.250 0.250
Sb 0.000 0.000 0.500
Sb 0.250 0.250 0.750

***

No. 15
Crystalline BaTcSb at its relaxed geometry. Source: Alexandria via LeMat-Bulk, functional PBE.

ΔE_f (raw) ... 0.036 eV per atom
Electronic total energy ... -5.434 eV per atom
V ... 30.758 A^3/atom
E above lowest polymorph ... 12.7 meV/atom

Lattice parameters (Å, degrees): 4.5466 4.5466 5.1544 90.00 90.00 120.00
Space group P-6m2 (No. 187)
Symmetry-distinct sites (fractional):
Ba 0.0000 0.0000 0.0000
Tc 0.3333 0.6667 0.5000
Sb 0.6667 0.3333 0.5000

***

No. 16
Crystalline Ba2Tc2Sb at its relaxed geometry. Source: Alexandria via LeMat-Bulk, functional PBE.

ΔE_f (raw) ... 0.170 eV per atom
Electronic total energy ... -5.570 eV per atom
V ... 28.703 A^3/atom
E above lowest polymorph ... 0.0 meV/atom

Lattice parameters (Å, degrees): 3.618 3.618 21.922 90.00 90.00 90.00
Space group I4/mmm (No. 139)
Symmetry-distinct sites (fractional):
Ba 0.000 0.000 0.117
Tc 0.000 0.500 0.250
Sb 0.000 0.000 0.500

***

No. 17
Crystalline BaTc2Sb at its relaxed geometry. Source: Alexandria via LeMat-Bulk, functional PBE.

ΔE_f (raw) ... 0.252 eV per atom
Electronic total energy ... -6.442 eV per atom
V ... 22.784 A^3/atom

Lattice parameters (Å, degrees): 3.293 3.293 8.404 90.00 90.00 90.00
Space group P4mm (No. 99)
Symmetry-distinct sites (fractional):
Ba 0.000 0.000 0.000
Tc 0.000 0.000 0.555
Tc 0.500 0.500 0.702
Sb 0.500 0.500 0.349

***

No. 18
Crystalline BaTcSb at its relaxed geometry. Source: Alexandria via LeMat-Bulk, functional PBE.

ΔE_f (raw) ... 0.024 eV per atom
Electronic total energy ... -5.447 eV per atom
V ... 26.197 A^3/atom
E above lowest polymorph ... 0.0 meV/atom

Lattice parameters (Å, degrees): 3.552 3.552 12.457 90.00 90.00 90.00
Space group I4mm (No. 107)
Symmetry-distinct sites (fractional):
Ba 0.000 0.000 0.000
Tc 0.000 0.000 0.307
Sb 0.000 0.000 0.720

***

No. 19
Crystalline BaTc2Sb at its relaxed geometry. Source: Alexandria via LeMat-Bulk, functional PBE.

ΔE_f (raw) ... -0.039 eV per atom
Electronic total energy ... -6.733 eV per atom
V ... 26.265 A^3/atom

Lattice parameters (Å, degrees): 4.3581 4.3581 19.1607 90.00 90.00 120.00
Space group R3m (No. 160, hexagonal axes)
Symmetry-distinct sites (fractional):
Ba 0.0000 0.0000 0.0000
Tc 0.0000 0.0000 0.2059
Tc 0.0000 0.0000 0.5185
Sb 0.0000 0.0000 0.7970

***

No. 20
Crystalline BaTcSb2 at its relaxed geometry. Source: Alexandria via LeMat-Bulk, functional PBE.

ΔE_f (raw) ... 0.064 eV per atom
Electronic total energy ... -5.069 eV per atom
V ... 26.763 A^3/atom
E above lowest polymorph ... 323.6 meV/atom

Lattice parameters (Å, degrees): 3.655 3.655 8.012 90.00 90.00 90.00
Space group P4mm (No. 99)
Symmetry-distinct sites (fractional):
Ba 0.000 0.000 0.000
Tc 0.500 0.500 0.670
Sb 0.000 0.000 0.559
Sb 0.500 0.500 0.317